Entry 1:
The following is a DFT calculation (PBE-GGA) of Ba4CaLa after structural relaxation.

## Properties
magnetization = 0.266 μB/atom
ρ = 3.71 Mg/m³
calculated formation energy = 0.3214 eV per atom

abc: 7.7266 7.7266 7.7266
angles: 60.00 60.00 60.00
Each line ends with the local moment (μB).
Fractional coordinates of all 6 atoms:
Ba 0.8765 0.3745 0.3745  0.06
Ba 0.3745 0.3745 0.8765  0.06
Ba 0.3745 0.8765 0.3745  0.06
Ba 0.3745 0.3745 0.3745  0.06
Ca 0.7500 0.7500 0.7500  0.00
La 0.0000 0.0000 0.0000  0.35

Entry 2:
The following is a DFT calculation (PBE-GGA) of SmHoPd after structural relaxation.

## Properties
magnetization = 0.000 μB/atom
ρ = 8.28 Mg/m³
ΔE to the lowest computed polymorph = 0.43 eV per formula unit
calculated formation energy = -0.4452 eV per atom

abc: 4.9274 4.9274 4.9274
angles: 60.00 60.00 60.00
Fractional coordinates of all 3 atoms:
Pd 0.2500 0.2500 0.2500
Ho 0.5000 0.5000 0.5000
Sm 0.0000 0.0000 0.0000

Entry 3:
The following is a DFT calculation (PBE-GGA) of BaTe2N after structural relaxation.

## Properties
magnetization = 0.201 μB/atom
ρ = 6.02 Mg/m³
uncorrected formation energy = 645 meV/atom

abc: 8.3807 8.3807 8.3807
angles: 27.68 27.68 27.68
Each line ends with the local moment (μB).
Fractional coordinates of all 4 atoms:
Te 0.7782 0.7782 0.7782  0.01
Te 0.2218 0.2218 0.2218  0.01
Ba 0.0000 0.0000 0.0000  0.13
N 0.5000 0.5000 0.5000  0.29

Entry 4:
The following is a DFT calculation (PBE-GGA) of Ba3P after structural relaxation.

## Properties
magnetization = 0.000 μB/atom
ρ = 4.09 Mg/m³
ΔE to the lowest computed polymorph = 1.37 eV per formula unit
calculated formation energy = -0.2406 eV per atom

abc: 14.4023 14.4023 14.4023
angles: 159.69 159.69 28.88
Fractional coordinates of all 8 atoms:
Ba 0.0000 0.5000 0.5000
Ba 0.5000 0.0000 0.5000
Ba 0.7500 0.2500 0.5000
Ba 0.2500 0.7500 0.5000
Ba 0.8840 0.8840 0.0000
Ba 0.1160 0.1160 0.0000
P 0.5802 0.5802 0.0000
P 0.4198 0.4198 0.0000

Entry 5:
The following is a DFT calculation (PBE-GGA) of HfIn3Pt12 after structural relaxation.

## Properties
magnetization = 0.000 μB/atom
ρ = 17.98 Mg/m³
calculated formation energy = -0.5827 eV per atom

abc: 4.0469 4.0469 16.1500
angles: 90.00 90.00 90.00
Fractional coordinates of all 16 atoms:
Hf 0.0000 0.0000 0.0000
In 0.0000 0.0000 0.2508
In 0.0000 0.0000 0.5000
In 0.0000 0.0000 0.7492
Pt 0.5000 0.5000 0.0000
Pt 0.5000 0.5000 0.2483
Pt 0.5000 0.5000 0.5000
Pt 0.5000 0.5000 0.7517
Pt 0.5000 0.0000 0.1216
Pt 0.5000 0.0000 0.3748
Pt 0.5000 0.0000 0.6252
Pt 0.5000 0.0000 0.8784
Pt 0.0000 0.5000 0.1216
Pt 0.0000 0.5000 0.3748
Pt 0.0000 0.5000 0.6252
Pt 0.0000 0.5000 0.8784

Entry 6:
The following is a DFT calculation (PBE-GGA) of Al3Ir after structural relaxation.

## Properties
magnetization = 0.000 μB/atom
ρ = 7.67 Mg/m³
calculated formation energy = -0.4219 eV per atom

abc: 4.6151 4.6151 2.9624
angles: 90.00 90.00 110.40
Fractional coordinates of all 4 atoms:
Ir 0.0000 0.0000 0.0000
Al 0.0000 0.5000 0.5000
Al 0.5000 0.0000 0.5000
Al 0.5000 0.5000 0.0000

Entry 7:
The following is a DFT calculation (PBE-GGA) of CePu2Hf after structural relaxation.

## Properties
magnetization = 2.505 μB/atom
ρ = 14.02 Mg/m³
ΔE to the lowest computed polymorph = 0.00 eV per formula unit
calculated formation energy = 0.1413 eV per atom

abc: 3.2119 3.2119 9.2607
angles: 90.00 90.00 90.00
Each line ends with the local moment (μB).
Fractional coordinates of all 4 atoms:
Hf 0.5000 0.5000 0.0000  -0.10
Ce 0.5000 0.5000 0.5000  -0.20
Pu 0.0000 0.0000 0.7505  5.02
Pu 0.0000 0.0000 0.2495  5.02

Entry 8:
The following is a DFT calculation (PBE-GGA) of TbNi5As3 after structural relaxation.

## Properties
magnetization = 0.000 μB/atom
ρ = 8.49 Mg/m³
calculated formation energy = -0.5364 eV per atom

abc: 3.6966 6.3688 11.7630
angles: 90.00 90.00 106.87
Fractional coordinates of all 18 atoms:
Tb 0.8443 0.6886 0.7500
Tb 0.1557 0.3114 0.2500
Ni 0.8040 0.6080 0.4309
Ni 0.1960 0.3920 0.9309
Ni 0.0000 0.0000 0.5000
Ni 0.0000 0.0000 0.0000
Ni 0.4506 0.9012 0.1447
Ni 0.5494 0.0988 0.8553
Ni 0.5494 0.0988 0.6447
Ni 0.8040 0.6080 0.0691
Ni 0.1960 0.3920 0.5691
Ni 0.4506 0.9012 0.3553
As 0.3798 0.7597 0.9533
As 0.8821 0.7642 0.2500
As 0.3798 0.7597 0.5467
As 0.6202 0.2403 0.4533
As 0.1179 0.2358 0.7500
As 0.6202 0.2403 0.0467

Entry 9:
The following is a DFT calculation (PBE-GGA) of HoLuGaGe after structural relaxation.

## Properties
magnetization = 0.000 μB/atom
ρ = 9.06 Mg/m³
calculated formation energy = -0.5529 eV per atom

abc: 5.0008 5.0008 5.0008
angles: 60.00 60.00 60.00
Fractional coordinates of all 4 atoms:
Ge 0.2500 0.2500 0.2500
Lu 0.5000 0.5000 0.5000
Ho 0.0000 0.0000 0.0000
Ga 0.7500 0.7500 0.7500